# Mg3ZnPd

A relaxed Mg3ZnPd crystal (PBE, the Alexandria database).

## Properties
Offset from the most stable computed form = 0.0 meV/atom

```
Mg3ZnPd
1.0
6.8240 -2.3025 0.0000
6.8240 2.3025 0.0000
-0.7412 0.0000 5.7125
Mg Zn Pd
6 2 2
Direct
0.0126 0.0126 0.2520
0.2074 0.2074 0.6541
0.3843 0.3843 0.0270
0.6157 0.6157 0.9730
0.7926 0.7926 0.3459
0.9874 0.9874 0.7480
0.4040 0.4040 0.5232
0.5960 0.5960 0.4768
0.1994 0.1994 0.1509
0.8006 0.8006 0.8491
```